Computed, not measured: a relaxed PrSiHRh2 crystal at the GGA-PBE level of DFT.

The structure in POSCAR format:
```
PrSiHRh2
1.0
1.9325 -5.4750 0.0000
1.9325 5.4750 0.0000
0.0000 0.0000 7.1510
Pr Si H Rh
2 2 2 4
Direct
0.0591 0.9409 0.7500
0.9409 0.0591 0.2500
0.2200 0.7800 0.2500
0.7800 0.2200 0.7500
0.5000 0.5000 0.0000
0.5000 0.5000 0.5000
0.3394 0.6606 0.5541
0.3394 0.6606 0.9459
0.6606 0.3394 0.0541
0.6606 0.3394 0.4459
```

Properties
SG: Cmcm
Crystal system: orthorhombic
E_tot in eV per atom: -6.465